Below is an optimized crystal structure of BOs3W, with properties calculated at the GGA-PBE level.

Structure (extended XYZ):
```
5
Lattice="4.733 0.000 0.000 0.000 4.733 0.000 0.000 0.000 4.733" Properties=species:S:1:pos:R:3 pbc="T T T"
B 0.000 0.000 0.000
Os 0.000 2.367 2.367
Os 2.367 0.000 2.367
Os 2.367 2.367 0.000
W 2.367 2.367 2.367
```

Computed properties:
E_tot = -7.479 eV/atom
ΔE to the lowest computed polymorph = 2955 meV/atom
Formation energy = 1536 kJ/mol of formula units


Below is an optimized crystal structure of La3BiIr, with properties calculated at the GGA-PBE level.

Structure (extended XYZ):
```
20
Lattice="7.998 0.000 0.000 0.000 6.768 0.000 -2.082 0.000 11.402" Properties=species:S:1:pos:R:3 pbc="T T T"
La 0.330 1.376 2.090
La -0.711 2.008 7.792
La 0.978 0.010 5.387
La -0.063 3.375 11.088
La 2.738 5.023 2.671
La 1.697 5.130 8.373
La 4.219 1.639 3.030
La 3.178 1.746 8.731
La 5.979 3.394 0.314
La 4.938 6.759 6.016
La 6.627 4.760 3.611
La 5.586 5.392 9.312
Bi 0.225 0.063 10.986
Bi 1.266 3.321 5.285
Bi 4.651 3.447 6.117
Bi 5.692 6.705 0.416
Ir 0.235 4.937 1.264
Ir -0.806 5.215 6.965
Ir 6.722 1.553 4.437
Ir 5.681 1.831 10.138
```

Computed properties:
E_tot = -6.063 eV/atom
ΔE to the lowest computed polymorph = 271 meV/atom
Formation energy = -269 kJ/mol of formula units


Below is an optimized crystal structure of Zr2IN2, with properties calculated at the GGA-PBE level.

Structure (extended XYZ):
```
5
Lattice="-1.959 1.959 5.888 1.959 -1.959 5.888 1.959 1.959 -5.888" Properties=species:S:1:pos:R:3 pbc="T T T"
Zr 0.000 0.000 2.029
Zr 0.000 0.000 9.748
I 0.000 0.000 5.888
N 1.959 0.000 2.944
N 0.000 1.959 2.944
```

Computed properties:
E_tot = -8.225 eV/atom
ΔE to the lowest computed polymorph = 0 meV/atom
Uncorrected formation energy = -1.166 eV per atom


Below is an optimized crystal structure of Ac8CuRh3Br3, with properties calculated at the GGA-PBE level.

Structure (extended XYZ):
```
15
Lattice="7.605 -4.397 0.000 7.605 4.397 0.000 -5.077 0.000 8.020" Properties=species:S:1:pos:R:3 pbc="T T T"
Ac 3.755 2.269 5.626
Ac -0.009 0.000 5.620
Ac 2.451 0.000 2.397
Ac 6.377 2.269 2.394
Ac 3.755 -2.269 5.626
Ac 7.681 0.000 5.623
Ac 10.142 0.000 2.400
Ac 6.377 -2.269 2.394
Cu 5.066 0.000 4.010
Rh -2.539 0.000 4.010
Rh 1.264 2.198 4.010
Rh 1.264 -2.198 4.010
Br 3.802 2.198 0.000
Br 3.802 -2.198 0.000
Br 7.605 0.000 0.000
```

Computed properties:
E_tot = -5.176 eV/atom
Uncorrected formation energy = -0.907 eV per atom


Below is an optimized crystal structure of RbBa2TeN, with properties calculated at the GGA-PBE level.

Structure (extended XYZ):
```
5
Lattice="6.557 0.000 0.000 0.000 6.557 0.000 0.000 0.000 6.558" Properties=species:S:1:pos:R:3 pbc="T T T"
Rb 0.000 0.000 0.000
Ba 0.000 3.278 3.279
Ba 3.278 0.000 3.279
Te 0.000 0.000 3.279
N 3.278 3.278 0.000
```

Computed properties:
E_tot = -2.783 eV/atom
Uncorrected formation energy = 0.473 eV per atom


Question: The highest E_tot belongs to which entry?
Answer: RbBa2TeN